[1]
Material: GaBiC3
Method: DFT, meta-GGA SCAN
State: PBEsol geometry

Summary:
- crystal system = cubic

Cell and atoms, written as CIF:
```
data_GaBiC3
_cell_length_a 4.509
_cell_length_b 4.509
_cell_length_c 4.509
_cell_angle_alpha 90.00
_cell_angle_beta 90.00
_cell_angle_gamma 90.00
_space_group_name_H-M_alt 'P 1'
_space_group_IT_number 1
loop_
_space_group_symop_operation_xyz
'x,y,z'
loop_
_atom_site_label
_atom_site_type_symbol
_atom_site_fract_x
_atom_site_fract_y
_atom_site_fract_z
Ga1 Ga 0.000 0.000 0.000
Bi1 Bi 0.500 0.500 0.500
C1 C 0.000 0.500 0.500
C2 C 0.500 0.000 0.500
C3 C 0.500 0.500 0.000
```

[2]
Material: SrCa2FeRh
Method: DFT, meta-GGA SCAN
State: PBEsol geometry

Summary:
- crystal system = tetragonal

Cell and atoms, written as CIF:
```
data_SrCa2FeRh
_cell_length_a 5.451
_cell_length_b 5.451
_cell_length_c 4.195
_cell_angle_alpha 90.00
_cell_angle_beta 90.00
_cell_angle_gamma 90.00
_space_group_name_H-M_alt 'P 1'
_space_group_IT_number 1
loop_
_space_group_symop_operation_xyz
'x,y,z'
loop_
_atom_site_label
_atom_site_type_symbol
_atom_site_fract_x
_atom_site_fract_y
_atom_site_fract_z
Sr1 Sr 0.000 0.000 0.000
Ca1 Ca 0.000 0.500 0.000
Ca2 Ca 0.500 0.000 0.000
Fe1 Fe 0.000 0.000 0.500
Rh1 Rh 0.500 0.500 0.500
```

[3]
Material: ZrCu2Au
Method: DFT, meta-GGA SCAN
State: PBEsol geometry

Summary:
- crystal system = trigonal
- offset from the most stable computed form (meV/atom) = 438.3

Cell and atoms, written as CIF:
```
data_ZrCu2Au
_cell_length_a 2.859
_cell_length_b 2.859
_cell_length_c 26.501
_cell_angle_alpha 90.00
_cell_angle_beta 90.00
_cell_angle_gamma 120.00
_space_group_name_H-M_alt 'P 1'
_space_group_IT_number 1
loop_
_space_group_symop_operation_xyz
'x,y,z'
loop_
_atom_site_label
_atom_site_type_symbol
_atom_site_fract_x
_atom_site_fract_y
_atom_site_fract_z
Zr1 Zr 0.000 0.000 0.000
Zr2 Zr 0.333 0.667 0.667
Zr3 Zr 0.667 0.333 0.333
Cu1 Cu 0.000 0.000 0.247
Cu2 Cu 0.000 0.000 0.753
Cu3 Cu 0.333 0.667 0.420
Cu4 Cu 0.333 0.667 0.913
Cu5 Cu 0.667 0.333 0.087
Cu6 Cu 0.667 0.333 0.580
Au1 Au 0.000 0.000 0.500
Au2 Au 0.333 0.667 0.167
Au3 Au 0.667 0.333 0.833
```

[4]
Material: Sc2Ni7
Method: DFT, meta-GGA SCAN
State: PBEsol geometry

Summary:
- crystal system = hexagonal

Cell and atoms, written as CIF:
```
data_Sc2Ni7
_cell_length_a 4.718
_cell_length_b 4.718
_cell_length_c 23.434
_cell_angle_alpha 90.00
_cell_angle_beta 90.00
_cell_angle_gamma 120.00
_space_group_name_H-M_alt 'P 1'
_space_group_IT_number 1
loop_
_space_group_symop_operation_xyz
'x,y,z'
loop_
_atom_site_label
_atom_site_type_symbol
_atom_site_fract_x
_atom_site_fract_y
_atom_site_fract_z
Sc1 Sc 0.333 0.667 0.029
Sc2 Sc 0.333 0.667 0.174
Sc3 Sc 0.333 0.667 0.326
Sc4 Sc 0.333 0.667 0.471
Sc5 Sc 0.667 0.333 0.529
Sc6 Sc 0.667 0.333 0.674
Sc7 Sc 0.667 0.333 0.826
Sc8 Sc 0.667 0.333 0.971
Ni1 Ni 0.000 0.000 0.000
Ni2 Ni 0.000 0.000 0.166
Ni3 Ni 0.000 0.000 0.334
Ni4 Ni 0.000 0.000 0.500
Ni5 Ni 0.000 0.000 0.666
Ni6 Ni 0.000 0.000 0.834
Ni7 Ni 0.167 0.333 0.750
Ni8 Ni 0.167 0.833 0.750
Ni9 Ni 0.168 0.336 0.583
Ni10 Ni 0.168 0.336 0.917
Ni11 Ni 0.168 0.832 0.583
Ni12 Ni 0.168 0.832 0.917
Ni13 Ni 0.333 0.167 0.250
Ni14 Ni 0.333 0.667 0.666
Ni15 Ni 0.333 0.667 0.834
Ni16 Ni 0.336 0.168 0.083
Ni17 Ni 0.336 0.168 0.417
Ni18 Ni 0.664 0.832 0.583
Ni19 Ni 0.664 0.832 0.917
Ni20 Ni 0.667 0.333 0.166
Ni21 Ni 0.667 0.333 0.334
Ni22 Ni 0.667 0.833 0.750
Ni23 Ni 0.832 0.168 0.083
Ni24 Ni 0.832 0.168 0.417
Ni25 Ni 0.832 0.664 0.083
Ni26 Ni 0.832 0.664 0.417
Ni27 Ni 0.833 0.167 0.250
Ni28 Ni 0.833 0.667 0.250
```

Number 1: energy relative to the elements 3.3873 eV/atom, volume 18.34 Å³ per atom. Number 2: energy relative to the elements 1.7033 eV/atom, volume 24.93 Å³ per atom. Number 3: energy relative to the elements 0.0649 eV/atom, volume 15.63 Å³ per atom. Number 4: energy relative to the elements -0.3902 eV/atom, volume 12.55 Å³ per atom.